1.
The following is a PBE-GGA calculation of a geometry-optimized Al2Tl2Ga15 structure, from the Alexandria database.

abc: 7.3577 7.3577 7.3577
angles: 81.71 81.71 81.71
Fractional positions:
Tl  0.3447  0.3447  0.3447
Ga  0.0000  0.7085  0.2915
Ga  0.7085  0.0000  0.2915
Ga  0.7085  0.2915  0.0000
Ga  0.8523  0.3615  0.3615
Ga  0.3615  0.8523  0.3615
Al  0.8978  0.8978  0.8978
Ga  0.0000  0.2915  0.7085
Ga  0.1477  0.6385  0.6385
Tl  0.6553  0.6553  0.6553
Ga  0.5000  0.0000  0.0000
Ga  0.3615  0.3615  0.8523
Al  0.1022  0.1022  0.1022
Ga  0.0000  0.5000  0.0000
Ga  0.2915  0.7085  0.0000
Ga  0.6385  0.6385  0.1477
Ga  0.0000  0.0000  0.5000
Ga  0.6385  0.1477  0.6385
Ga  0.2915  0.0000  0.7085

Its energy is -2.98 eV/atom. For the calculated density, the calculation gives 6.5 Mg/m³. Its space group is R-3m.

2.
The following is a PBE-GGA calculation of a geometry-optimized Mn2NbNiN structure, from the Alexandria database.

abc: 3.7601 3.7601 4.2272
angles: 90.00 90.00 90.00
Fractional positions:
N  0.0000  0.0000  0.0000
Mn  0.0000  0.5000  0.0000
Mn  0.5000  0.0000  0.0000
Ni  0.5000  0.5000  0.5000
Nb  0.0000  0.0000  0.5000

Its energy is -8.77 eV/atom. For the calculated density, the calculation gives 7.7 Mg/m³. Its space group is P4/mmm. The value obtained for the formation energy (no corrections) is -0.2665 eV per atom.

3.
The following is a PBE-GGA calculation of a geometry-optimized Cs6Au2ClF3 structure, from the Alexandria database.

abc: 4.7033 9.3271 10.7463
angles: 111.02 102.64 90.00
Fractional positions:
Cs  0.6465  0.6609  0.2930
Cs  0.0054  0.2708  0.0108
Cl  0.5000  0.0000  0.0000
F  0.5000  0.5000  0.0000
Au  0.7962  0.5605  0.5925
Cs  0.3535  0.3392  0.7070
Au  0.2038  0.4395  0.4075
Cs  0.6802  0.1139  0.3605
Cs  0.9946  0.7292  0.9892
Cs  0.3198  0.8861  0.6395
F  0.1607  0.8753  0.3213
F  0.8393  0.1247  0.6787

Its energy is -3.32 eV/atom. For the calculated density, the calculation gives 5.0 Mg/m³. Its space group is C2/m. The value obtained for the formation energy (no corrections) is -1.7274 eV per atom.

4.
The following is a PBE-GGA calculation of a geometry-optimized MnSiSN2 structure, from the Alexandria database.

abc: 3.5953 3.5953 4.9582
angles: 90.00 90.00 90.00
Fractional positions:
N  0.0000  0.5000  0.0000
Si  0.5000  0.5000  0.5000
N  0.5000  0.0000  0.0000
S  0.0000  0.0000  0.5000
Mn  0.0000  0.0000  0.0000

Its energy is -6.41 eV/atom. For the calculated density, the calculation gives 3.7 Mg/m³. The distance to the lowest polymorph of the same formula is 0.382 eV per atom. Its space group is P4/mmm. The value obtained for the formation energy (no corrections) is 0.6650 eV per atom.

5.
The following is a PBE-GGA calculation of a geometry-optimized CuHg2As structure, from the Alexandria database.

abc: 3.8062 3.9134 5.4694
angles: 90.00 90.00 90.00
Fractional positions:
Cu  0.5000  0.5000  0.7500
As  0.5000  0.5000  0.2500
Hg  0.0000  0.0000  0.9967
Hg  0.0000  0.0000  0.5033

Its energy is -2.00 eV/atom. For the calculated density, the calculation gives 11.0 Mg/m³. Its space group is Pmmm.

6.
The following is a PBE-GGA calculation of a geometry-optimized Ti6CuNi structure, from the Alexandria database.

abc: 4.1116 4.1116 7.9316
angles: 74.98 74.98 90.00
Fractional positions:
Ti  0.6149  0.1149  0.7703
Ti  0.1149  0.6149  0.7703
Ti  0.8851  0.3851  0.2297
Ti  0.2493  0.2493  0.5015
Cu  0.0000  0.0000  0.0000
Ti  0.3851  0.8851  0.2297
Ti  0.7507  0.7507  0.4985
Ni  0.5000  0.5000  0.0000

Its energy is -7.28 eV/atom. For the calculated density, the calculation gives 5.4 Mg/m³. The distance to the lowest polymorph of the same formula is 0.000 eV per atom. Its space group is I4/mmm.

7.
The following is a PBE-GGA calculation of a geometry-optimized Ba2Na3PtO6 structure, from the Alexandria database.

abc: 6.4846 6.4846 5.9197
angles: 98.95 98.95 122.70
Fractional positions:
Pt  0.0000  0.0000  0.0000
O  0.6752  0.9297  0.7769
Ba  0.3296  0.6704  0.0000
Na  0.1232  0.8768  0.5000
O  0.9297  0.6752  0.7769
Ba  0.6704  0.3296  0.0000
Na  0.5000  0.5000  0.5000
O  0.3248  0.0703  0.2231
O  0.2157  0.2157  0.7979
O  0.0703  0.3248  0.2231
Na  0.8768  0.1232  0.5000
O  0.7843  0.7843  0.2021

Its energy is -5.16 eV/atom. For the calculated density, the calculation gives 5.3 Mg/m³. Its space group is C2/m. The value obtained for the formation energy (no corrections) is -1.5319 eV per atom.

8.
The following is a PBE-GGA calculation of a geometry-optimized Tm2TeI structure, from the Alexandria database.

abc: 4.0417 4.0417 9.9064
angles: 78.23 78.23 60.00
Fractional positions:
I  0.0000  0.0000  0.0000
Tm  0.1004  0.1004  0.6987
Te  0.5000  0.5000  0.5000
Tm  0.8996  0.8996  0.3013

Its energy is -4.12 eV/atom. For the calculated density, the calculation gives 7.2 Mg/m³. The distance to the lowest polymorph of the same formula is 0.133 eV per atom. Its space group is R-3m. The value obtained for the formation energy (no corrections) is -0.7118 eV per atom.

9.
The following is a PBE-GGA calculation of a geometry-optimized DyTm2Si2 structure, from the Alexandria database.

abc: 4.3251 6.4023 9.3021
angles: 77.63 76.56 70.26
Fractional positions:
Tm  0.3114  0.2913  0.0859
Si  0.9649  0.1691  0.9012
Si  0.8868  0.6638  0.5626
Dy  0.7837  0.0806  0.3521
Si  0.1132  0.3362  0.4374
Si  0.0351  0.8309  0.0988
Tm  0.4838  0.3464  0.6861
Dy  0.2163  0.9194  0.6479
Tm  0.6886  0.7087  0.9141
Tm  0.5162  0.6536  0.3139

Its energy is -5.45 eV/atom. For the calculated density, the calculation gives 7.9 Mg/m³. Its space group is C2/m. The value obtained for the formation energy (no corrections) is -0.5696 eV per atom.

10.
The following is a PBE-GGA calculation of a geometry-optimized Li4SnPt structure, from the Alexandria database.

abc: 4.9375 4.9375 4.9375
angles: 60.00 60.00 60.00
Fractional positions:
Li  0.6268  0.1195  0.6268
Sn  0.2500  0.2500  0.2500
Li  0.6268  0.6268  0.6268
Li  0.1195  0.6268  0.6268
Pt  0.0000  0.0000  0.0000
Li  0.6268  0.6268  0.1195

Its energy is -3.27 eV/atom. For the calculated density, the calculation gives 6.7 Mg/m³. The distance to the lowest polymorph of the same formula is 0.175 eV per atom. Its space group is F-43m.

11.
The following is a PBE-GGA calculation of a geometry-optimized MgH12SO9 structure, from the Alexandria database.

abc: 5.3144 6.4619 7.4817
angles: 113.77 89.87 82.51
Fractional positions:
O  0.4767  0.6328  0.0034
O  0.6699  0.2614  0.4723
O  0.9130  0.9577  0.6720
O  0.4065  0.6715  0.5524
H  0.4892  0.0515  0.3993
S  0.7199  0.0372  0.8461
H  0.8346  0.2643  0.2270
O  0.8819  0.3086  0.3660
H  0.5849  0.5015  0.0171
O  0.8175  0.8680  0.9501
O  0.3485  0.9560  0.3904
O  0.1248  0.3818  0.7910
H  0.6790  0.7737  0.9534
Mg  0.0192  0.1523  0.5411
O  0.7938  0.2640  0.9967
H  0.2497  0.4868  0.8564
H  0.0299  0.3584  0.8946
H  0.3060  0.3469  0.2168
H  0.4070  0.7407  0.1366
H  0.4979  0.5145  0.5283
H  0.2366  0.6938  0.6130
H  0.4027  0.8411  0.4511
H  0.2702  0.2546  0.1251

Its energy is -4.95 eV/atom. For the calculated density, the calculation gives 1.5 Mg/m³. The distance to the lowest polymorph of the same formula is 0.239 eV per atom. Its space group is P1.

12.
The following is a PBE-GGA calculation of a geometry-optimized TlHgBi2H structure, from the Alexandria database.

abc: 6.1410 6.1410 3.5450
angles: 90.00 90.00 90.00
Fractional positions:
Bi  0.0000  0.5000  0.0000
Bi  0.5000  0.0000  0.0000
Hg  0.0000  0.0000  0.0000
H  0.0000  0.0000  0.5000
Tl  0.5000  0.5000  0.5000

Its energy is -2.51 eV/atom. For the calculated density, the calculation gives 10.2 Mg/m³. Its space group is P4/mmm.